Entry 1:
Below is a geometry-optimized MnNiBr2 structure, with properties calculated at the GGA-PBE level.

Output
The crystal system is orthorhombic. The density of states at the Fermi level is 0.5801 states/eV/atom. The value obtained for the uncorrected formation energy is 0.2670 eV per atom. The value obtained for the calculated volume is 20.58 Å³ per atom. As for the distance to the lowest polymorph of the same formula: 0.4761 eV/atom. The space group is No. 47.

Cell lengths 3.5314, 3.7703, 6.1833 Å; angles 90.00, 90.00, 90.00 degrees
Last column: nearest neighbours and their distance in Å.
Atoms (fractional coordinates):
Mn: 0.0000 0.0000 0.0000  4 Br 2.58
Ni: 0.5000 0.0000 0.5000  4 Br 2.58
Br: 0.0000 0.5000 0.5000  4 Ni 2.58
Br: 0.5000 0.5000 0.0000  4 Mn 2.58

Entry 2:
Below is a geometry-optimized KPr2InO5 structure, with properties calculated at the GGA-PBE level.

Output
The crystal system is tetragonal. The density of states at the Fermi level is 0.0000 states/eV/atom. The value obtained for the uncorrected formation energy is -2.4187 eV per atom. The value obtained for the calculated volume is 16.33 Å³ per atom. The space group is No. 140.

Cell lengths 7.8386, 7.8386, 7.8386 Å; angles 127.51, 127.51, 77.43 degrees
Last column: nearest neighbours and their distance in Å.
Atoms (fractional coordinates):
K: 0.2500 0.2500 0.0000  10 O 3.06-3.08
K: 0.7500 0.7500 0.0000  10 O 3.06-3.08
Pr: 0.1792 0.6792 0.8585  4 O 2.33-2.55
Pr: 0.3208 0.1792 0.5000  4 O 2.33-2.55
Pr: 0.6792 0.8208 0.5000  4 O 2.33-2.55
Pr: 0.8208 0.3208 0.1415  4 O 2.33-2.55
In: 0.2500 0.7500 0.5000  4 O 2.06
In: 0.7500 0.2500 0.5000  4 O 2.06
O: 0.0000 0.0000 0.0000  4 Pr 2.55
O: 0.0165 0.2330 0.5000  1 In 2.06
O: 0.2330 0.7330 0.2165  1 In 2.06
O: 0.2670 0.4835 0.5000  1 In 2.06
O: 0.4835 0.9835 0.2165  1 In 2.06
O: 0.5000 0.5000 0.0000  4 Pr 2.55
O: 0.5165 0.0165 0.7835  1 In 2.06
O: 0.7330 0.5165 0.5000  1 In 2.06
O: 0.7670 0.2670 0.7835  1 In 2.06
O: 0.9835 0.7670 0.5000  1 In 2.06

Entry 3:
Below is a geometry-optimized BaBiS3 structure, with properties calculated at the GGA-PBE level.

Output
The crystal system is cubic. The density of states at the Fermi level is 0.7809 states/eV/atom. The value obtained for the uncorrected formation energy is -0.7749 eV per atom. The value obtained for the calculated volume is 29.14 Å³ per atom. As for the distance to the lowest polymorph of the same formula: 0.0679 eV/atom. The space group is No. 221.

Cell lengths 5.2623, 5.2623, 5.2623 Å; angles 90.00, 90.00, 90.00 degrees
Last column: nearest neighbours and their distance in Å.
Atoms (fractional coordinates):
Ba: 0.0000 0.0000 0.0000  12 S 3.72
Bi: 0.5000 0.5000 0.5000  6 S 2.63
S: 0.0000 0.5000 0.5000  2 Bi 2.63
S: 0.5000 0.0000 0.5000  2 Bi 2.63
S: 0.5000 0.5000 0.0000  2 Bi 2.63

Entry 4:
Below is a geometry-optimized La3PmSm2 structure, with properties calculated at the GGA-PBE level.

Output
The crystal system is orthorhombic. The density of states at the Fermi level is 1.7782 states/eV/atom. The value obtained for the calculated volume is 40.04 Å³ per atom. As for the distance to the lowest polymorph of the same formula: 0.2918 eV/atom. The space group is No. 72. Its formation energy from the elements is 0.52 eV per atom.

Cell lengths 8.9762, 8.9762, 8.9762 Å; angles 101.72, 96.14, 133.62 degrees
Last column: nearest neighbours and their distance in Å.
Atoms (fractional coordinates):
La: 0.0124 0.7500 0.2624  1 La 3.15, 2 Pm 3.35, 4 Sm 3.37-3.39
La: 0.2500 0.2500 0.0000  2 La 3.15
La: 0.4876 0.7500 0.7376  1 La 3.15, 2 Pm 3.35, 4 Sm 3.37-3.39
La: 0.5124 0.2500 0.2624  1 La 3.15, 2 Pm 3.35, 4 Sm 3.37-3.39
La: 0.7500 0.7500 0.0000  2 La 3.15
La: 0.9876 0.2500 0.7376  1 La 3.15, 2 Pm 3.35, 4 Sm 3.37-3.39
Pm: 0.0000 0.5000 0.5000  4 La 3.35, 2 Pm 3.53
Pm: 0.5000 0.0000 0.5000  4 La 3.35, 2 Pm 3.53
Sm: 0.2081 0.2461 0.4542  4 La 3.37-3.39, 2 Sm 3.68
Sm: 0.2919 0.7461 0.0381  4 La 3.37-3.39, 2 Sm 3.68
Sm: 0.7081 0.2539 0.9619  4 La 3.37-3.39, 2 Sm 3.68
Sm: 0.7919 0.7539 0.5458  4 La 3.37-3.39, 2 Sm 3.68

no.,calculated total energy (eV/atom)
1,-4.3072
2,-6.6616
3,-4.4121
4,-4.3080